Entry from Alexandria: crystalline V3SiSb at its relaxed geometry (GGA-PBE).

- energy above the lowest structure with this stoichiometry (meV/atom) = 942.3
- density of states at the Fermi level (states/eV per cell) = 10.227
- formation energy without anion corrections (meV per atom) = 1457
- crystal system = cubic
- volume (Å³/atom) = 24.7
- density (g cm⁻³) = 4.07

Geometry as extended XYZ:
```
5
Lattice="4.982 0.000 0.000 0.000 4.982 0.000 0.000 0.000 4.982" Properties=species:S:1:pos:R:3 pbc="T T T"
Sb 0.000 0.000 0.000
Si 2.491 2.491 2.491
V 0.000 2.491 0.000
V 0.000 0.000 2.491
V 2.491 0.000 0.000
```